## Na2CoPF (PBE+U)

Data for Na2CoPF after structural relaxation.

Cell: 5.477 5.477 4.032 Å, 90.00 90.00 90.00°
Fractional positions:
Na (0.000, 0.500, 0.000)
Na (0.500, 0.000, 0.000)
Co (0.000, 0.000, 0.000)
P (0.000, 0.000, 0.500)
F (0.500, 0.500, 0.500)

Calculated values
The uncorrected energy comes out at -0.1266 hartree per atom. As for the space-group type: No. 123.